DFT (GGA+U) results for a geometry-optimized UMn2TeO8 structure.

Total energy = -177.410 eV/cell
Total magnetization = 7.8 μB per cell
Mass density = 6.810 g/cm3

abc: 6.633 6.692 6.631
angles: 90.00 90.00 90.00
Space group Cmmm (No. 65)
Unique sites:
U (0.000, 0.000, 0.000) [2 per cell]
Mn (0.000, 0.500, 0.260) [4 per cell]
Te (0.000, 0.000, 0.500) [2 per cell]
O (0.000, 0.203, 0.245) [8 per cell]
O (0.180, 0.500, 0.500) [4 per cell]
O (0.190, 0.500, 0.000) [4 per cell]